(1)
The following is a PBE calculation of an optimized crystal structure of Pm3SiI2, from the Alexandria database.

Unit cell a=7.6591 b=7.6591 c=7.3964 alpha=100.18 beta=100.18 gamma=115.98
Fractional positions:
Pm 0.0000 0.5000 0.0000
Pm 0.1162 0.2561 0.4838
Pm 0.2561 0.1162 0.9838
Pm 0.5000 0.0000 0.5000
Pm 0.7439 0.8838 0.0162
Pm 0.8838 0.7439 0.5162
Si 0.1000 0.9000 0.2500
Si 0.9000 0.1000 0.7500
I 0.2717 0.7283 0.7500
I 0.4292 0.5708 0.2500
I 0.5708 0.4292 0.7500
I 0.7283 0.2717 0.2500

Calculated values
Fermi-level density of states = 0.548 states/eV per atom
Size of the total moment = 0.00 μB/f.u.
Calculated volume = 30.64 Å³ per atom
SG = C2/c (15)
ΔE_f (raw) = -0.877 eV per atom

(2)
The following is a PBE calculation of an optimized crystal structure of Pm3SiI, from the Alexandria database.

Unit cell a=4.1745 b=9.2032 c=8.3392 alpha=90.00 beta=90.00 gamma=90.00
Fractional positions:
Pm 0.2500 0.0594 0.1574
Pm 0.2500 0.2500 0.7522
Pm 0.2500 0.4406 0.1574
Pm 0.7500 0.5594 0.8426
Pm 0.7500 0.7500 0.2478
Pm 0.7500 0.9406 0.8426
Si 0.2500 0.7500 0.0124
Si 0.7500 0.2500 0.9876
I 0.2500 0.7500 0.5623
I 0.7500 0.2500 0.4377

Calculated values
Fermi-level density of states = 0.544 states/eV per atom
Size of the total moment = 0.00 μB/f.u.
Calculated volume = 32.04 Å³ per atom
SG = Pmmn (59)
ΔE_f (raw) = -0.577 eV per atom

(3)
The following is a PBE calculation of an optimized crystal structure of Pm2SiI3, from the Alexandria database.

Unit cell a=9.9427 b=9.9427 c=12.4517 alpha=123.74 beta=123.74 gamma=27.26
Fractional positions:
Pm 0.1048 0.1048 0.4296
Pm 0.3683 0.3683 0.2179
Pm 0.6317 0.6317 0.7821
Pm 0.8952 0.8952 0.5704
Si 0.0550 0.0550 0.6137
Si 0.9450 0.9450 0.3863
I 0.1646 0.1646 0.9998
I 0.2680 0.2680 0.3783
I 0.4589 0.4589 0.7811
I 0.5411 0.5411 0.2189
I 0.7320 0.7320 0.6217
I 0.8354 0.8354 0.0002

Calculated values
Fermi-level density of states = 0.091 states/eV per atom
Size of the total moment = 0.00 μB/f.u.
Calculated volume = 38.55 Å³ per atom
SG = C2/m (12)
ΔE_f (raw) = -1.043 eV per atom